[1]
Material: Sr2Ga5Ag3
Method: DFT, PBE
State: optimized geometry

Lattice parameters (Å, degrees): 12.7672 12.6340 6.3199 90.00 119.17 90.00
Space group C2/c (No. 15)
Unique sites:
Sr  0.2459  0.1252  0.2464 x8
Ga  0.0000  0.0012  0.2500 x4
Ga  0.0000  0.2565  0.2500 x4
Ga  0.0000  0.2593  0.7500 x4
Ga  0.1356  0.3752  0.1367 x8
Ag  0.0000  0.4986  0.7500 x4
Ag  0.1293  0.1281  0.6306 x8

Magnetic moment   0.00 μB/f.u.
Electronic total energy   -3.051 eV/atom
ΔE_f   -0.346 eV per atom
ΔE to the lowest computed polymorph   0.0 kJ/mol of formula units

---

[2]
Material: KGaH2
Method: DFT, PBE
State: optimized geometry

Lattice parameters (Å, degrees): 6.3977 6.3977 6.3977 90.00 90.00 90.00
Space group Fm-3m (No. 225)
Unique sites:
K  0.0000  0.0000  0.0000 x4
Ga  0.0000  0.0000  0.5000 x4
H  0.2500  0.2500  0.2500 x8

Magnetic moment   0.00 μB/f.u.
Electronic total energy   -2.414 eV/atom
ΔE to the lowest computed polymorph   129.3 kJ/mol of formula units

---

[3]
Material: SmPa2Ge
Method: DFT, PBE
State: optimized geometry

Lattice parameters (Å, degrees): 4.3720 4.3720 5.0176 90.00 90.00 90.00
Space group P4/mmm (No. 123)
Unique sites:
Sm  0.0000  0.0000  0.0000 x1
Pa  0.0000  0.5000  0.5000 x2
Ge  0.5000  0.5000  0.0000 x1

Magnetic moment   0.00 μB/f.u.
Electronic total energy   -7.251 eV/atom
ΔE_f   -0.169 eV per atom
ΔE to the lowest computed polymorph   0.0 kJ/mol of formula units

---

[4]
Material: Cs3K4Rb8
Method: DFT, PBE
State: optimized geometry

Lattice parameters (Å, degrees): 18.8209 18.3001 9.4595 90.00 118.45 90.00
Space group C2/m (No. 12)
Unique sites:
Cs  0.0000  0.0000  0.0000 x2
Cs  0.2500  0.2500  0.5000 x4
K  0.0000  0.5000  0.0000 x2
K  0.0000  0.5000  0.5000 x2
K  0.2500  0.2500  0.0000 x4
Rb  0.0000  0.1432  0.5000 x4
Rb  0.0000  0.2645  0.0000 x4
Rb  0.2455  0.5000  0.9875 x4
Rb  0.2477  0.0000  0.5232 x4

Magnetic moment   0.00 μB/f.u.
Electronic total energy   -0.916 eV/atom
ΔE_f   0.063 eV per atom
ΔE to the lowest computed polymorph   67.9 kJ/mol of formula units

---

[5]
Material: BeCdPb2I
Method: DFT, PBE
State: optimized geometry

Lattice parameters (Å, degrees): 5.8830 5.8830 4.6179 90.00 90.00 90.00
Space group P4/mmm (No. 123)
Unique sites:
Be  0.0000  0.0000  0.0000 x1
Cd  0.0000  0.0000  0.5000 x1
Pb  0.0000  0.5000  0.5000 x2
I  0.5000  0.5000  0.0000 x1

Magnetic moment   0.00 μB/f.u.
Electronic total energy   -2.236 eV/atom
Formation energy without anion corrections   46.9 kJ/mol of atoms

---

[6]
Material: Cs8Au2Br
Method: DFT, PBE
State: optimized geometry

Lattice parameters (Å, degrees): 11.5532 11.5532 7.8559 90.00 90.00 120.00
Space group P-3 (No. 147)
Unique sites:
Cs  0.1591  0.3208  0.2645 x6
Cs  0.3333  0.6667  0.7884 x2
Au  0.3333  0.6667  0.3051 x2
Br  0.0000  0.0000  0.5000 x1

Magnetic moment   0.00 μB/f.u.
Electronic total energy   -1.748 eV/atom
Formation energy without anion corrections   -36.6 kJ/mol of atoms

---

[7]
Material: AgBr2
Method: DFT, PBE
State: optimized geometry

Lattice parameters (Å, degrees): 4.0739 4.0739 5.6262 90.00 90.00 120.00
Space group P-3m1 (No. 164)
Unique sites:
Ag  0.0000  0.0000  0.0000 x1
Br  0.3333  0.6667  0.2671 x2

Magnetic moment   0.00 μB/f.u.
Electronic total energy   -2.211 eV/atom
Formation energy without anion corrections   -14.0 kJ/mol of atoms

---

[8]
Material: LaTlFe
Method: DFT, PBE
State: optimized geometry

Lattice parameters (Å, degrees): 4.6959 4.6959 4.0274 90.00 90.00 120.00
Space group P-6m2 (No. 187)
Unique sites:
La  0.0000  0.0000  0.0000 x1
Tl  0.6667  0.3333  0.5000 x1
Fe  0.3333  0.6667  0.5000 x1

Magnetic moment   2.25 μB/f.u.
Electronic total energy   -5.132 eV/atom
ΔE_f   0.120 eV per atom

---

[9]
Material: KLiGe3
Method: DFT, PBE
State: optimized geometry

Lattice parameters (Å, degrees): 5.5931 5.5931 5.5931 90.00 90.00 90.00
Space group Pm-3m (No. 221)
Unique sites:
K  0.0000  0.0000  0.0000 x1
Li  0.5000  0.5000  0.5000 x1
Ge  0.0000  0.0000  0.5000 x3

Magnetic moment   0.00 μB/f.u.
Electronic total energy   -2.086 eV/atom
ΔE_f   1.287 eV per atom
ΔE to the lowest computed polymorph   487.4 kJ/mol of formula units

---

[10]
Material: In4Sn2Ru
Method: DFT, PBE
State: optimized geometry

Lattice parameters (Å, degrees): 5.1869 5.1869 15.2273 90.00 90.00 90.00
Space group I4/mmm (No. 139)
Unique sites:
In  0.0000  0.0000  0.1724 x4
In  0.0000  0.5000  0.0000 x4
Sn  0.0000  0.0000  0.3618 x4
Ru  0.0000  0.0000  0.0000 x2

Magnetic moment   0.00 μB/f.u.
Electronic total energy   -3.766 eV/atom
ΔE_f   0.268 eV per atom

---

[11]
Material: K3InP2
Method: DFT, PBE
State: optimized geometry

Lattice parameters (Å, degrees): 7.7271 14.5815 6.8659 90.00 90.00 90.00
Space group Ibam (No. 72)
Unique sites:
K  0.0000  0.0000  0.2500 x4
K  0.1936  0.3137  0.0000 x8
In  0.0000  0.5000  0.2500 x4
P  0.1902  0.4031  0.5000 x8

Magnetic moment   0.00 μB/f.u.
Electronic total energy   -3.188 eV/atom
ΔE_f   -0.379 eV per atom

---

[12]
Material: CsYbS2
Method: DFT, PBE
State: optimized geometry

Lattice parameters (Å, degrees): 4.1228 4.1228 15.9424 90.00 90.00 120.00
Space group P6_3/mmc (No. 194)
Unique sites:
Cs  0.3333  0.6667  0.2500 x2
Yb  0.0000  0.0000  0.0000 x2
S  0.3333  0.6667  0.5904 x4

Magnetic moment   0.67 μB/f.u.
Electronic total energy   -4.155 eV/atom
Formation energy without anion corrections   -144.4 kJ/mol of atoms

---

- Among the records above, which one has the highest electronic total energy?
  Cs3K4Rb8

---

- Look up the magnetic moment of the eleventh one.
  0.00 μB/f.u.